*a*
The following is a GGA-PBE calculation of a relaxed Tc5P crystal, from Alexandria.

Cell and atoms, written as POSCAR:
```
Tc5P
1.0
0.000 3.586 3.586
3.586 0.000 3.586
3.586 3.586 0.000
Tc P
5 1
direct
0.626 0.626 0.123 Tc
0.626 0.123 0.626 Tc
0.123 0.626 0.626 Tc
0.250 0.250 0.250 Tc
0.626 0.626 0.626 Tc
0.000 0.000 0.000 P
```

Its crystal system is cubic. The density comes out at 9.38 g cm⁻³.

=====

*b*
The following is a GGA-PBE calculation of a relaxed Tc5P crystal, from Alexandria.

Cell and atoms, written as POSCAR:
```
Tc5P
1.0
1.456 5.445 -0.001
-1.456 5.445 -0.001
0.000 1.324 5.409
Tc P
5 1
direct
0.334 0.334 0.318 Tc
0.674 0.674 0.652 Tc
0.711 0.711 0.091 Tc
0.031 0.031 0.377 Tc
0.396 0.396 0.772 Tc
0.020 0.020 0.957 P
```

Its crystal system is monoclinic. The density comes out at 10.08 g cm⁻³.

=====

*c*
The following is a GGA-PBE calculation of a relaxed Tc5P crystal, from Alexandria.

Cell and atoms, written as POSCAR:
```
Tc5P
1.0
-1.525 2.754 3.722
-0.943 -4.782 -0.040
4.082 -0.824 2.283
Tc P
5 1
direct
0.667 0.333 0.000 Tc
0.333 0.667 0.000 Tc
0.500 0.500 0.500 Tc
0.500 0.000 0.500 Tc
0.000 0.500 0.500 Tc
0.000 0.000 0.000 P
```

Its crystal system is hexagonal. The density comes out at 8.85 g cm⁻³.

=====

The least stable of the structures above is *c*, whereas *b* is the most stable.